# 1
Below is a relaxed structure of HfBe2Pb2, with properties calculated at the PBE-GGA level.

Output
- ΔE to the lowest computed polymorph (eV per atom) = 0.000
- E_form (eV/atom) = 0.590
- symmetry = I4/mmm (139)
- M_tot (μB/atom) = 0.0000

abc: 7.8994 7.8994 7.8994
angles: 153.52 153.52 37.79
Atoms (fractional coordinates):
Hf (0.0000, 0.0000, 0.0000)
Be (0.2500, 0.7500, 0.5000)
Be (0.7500, 0.2500, 0.5000)
Pb (0.3773, 0.3773, 0.0000)
Pb (0.6227, 0.6227, 0.0000)

# 2
Below is a relaxed structure of Al2Rh, with properties calculated at the PBE-GGA level.

Output
- E_form (eV/atom) = -0.227
- symmetry = Fd-3m (227)
- M_tot (μB/atom) = 0.0000

abc: 4.9760 4.9760 4.9760
angles: 60.00 60.00 60.00
Atoms (fractional coordinates):
Al (0.0000, 0.0000, 0.0000)
Al (0.0000, 0.0000, 0.5000)
Al (0.0000, 0.5000, 0.0000)
Al (0.5000, 0.0000, 0.0000)
Rh (0.3750, 0.3750, 0.3750)
Rh (0.6250, 0.6250, 0.6250)

# 3
Below is a relaxed structure of PmNdY3, with properties calculated at the PBE-GGA level.

Output
- ΔE to the lowest computed polymorph (eV per atom) = 0.103
- E_form (eV/atom) = 0.114
- symmetry = C2/c (15)
- M_tot (μB/atom) = 0.0000

abc: 8.8161 8.8161 9.9221
angles: 95.31 95.31 117.51
Atoms (fractional coordinates):
Pm (0.0170, 0.9830, 0.7500)
Pm (0.4051, 0.5949, 0.2500)
Pm (0.5949, 0.4051, 0.7500)
Pm (0.9830, 0.0170, 0.2500)
Nd (0.1901, 0.2873, 0.5437)
Nd (0.2873, 0.1901, 0.0437)
Nd (0.7127, 0.8099, 0.9563)
Nd (0.8099, 0.7127, 0.4563)
Y (0.0230, 0.5758, 0.6842)
Y (0.1192, 0.7403, 0.0568)
Y (0.2597, 0.8808, 0.4432)
Y (0.2986, 0.5071, 0.8814)
Y (0.4242, 0.9770, 0.8158)
Y (0.4929, 0.7014, 0.6186)
Y (0.5071, 0.2986, 0.3814)
Y (0.5758, 0.0230, 0.1842)
Y (0.7014, 0.4929, 0.1186)
Y (0.7403, 0.1192, 0.5568)
Y (0.8808, 0.2597, 0.9432)
Y (0.9770, 0.4242, 0.3158)

# 4
Below is a relaxed structure of Ca2TaCoAu, with properties calculated at the PBE-GGA level.

Output
- E_form (eV/atom) = 0.378
- symmetry = P4/mmm (123)
- M_tot (μB/atom) = 0.1413

abc: 5.2989 5.2989 4.4983
angles: 90.00 90.00 90.00
Atoms (fractional coordinates):
Ca (0.0000, 0.5000, 0.0000)
Ca (0.5000, 0.0000, 0.0000)
Ta (0.0000, 0.0000, 0.5000)
Co (0.0000, 0.0000, 0.0000)
Au (0.5000, 0.5000, 0.5000)

no.,uncorrected energy (eV for the cell shown)
1,-21.87
2,-31.04
3,-113.35
4,-24.35